No. 1
# Mn2CdRe PBE relaxed
data_Mn2CdRe
_symmetry_space_group_name_H-M 'C 1 2/m 1'
_symmetry_Int_Tables_number 12
_cell_length_a 8.8609
_cell_length_b 2.6891
_cell_length_c 5.2210
_cell_angle_alpha 90.00
_cell_angle_beta 95.18
_cell_angle_gamma 90.00
loop_
_symmetry_equiv_pos_as_xyz
'x,y,z'
'-x,-y,-z'
'-x,y,-z'
'x,-y,z'
'x+1/2,y+1/2,z'
'-x+1/2,-y+1/2,-z'
'-x+1/2,y+1/2,-z'
'x+1/2,-y+1/2,z'
loop_
_atom_site_label
_atom_site_fract_x
_atom_site_fract_y
_atom_site_fract_z
Mn1 0.2498 0.0000 0.2193
Cd1 0.0000 0.0000 0.5000
Re1 0.0000 0.5000 0.0000
# Energy of formation from the pure elements (meV/atom): 461.0
# Calculated total energy (hartree per atom): -0.274

***

No. 2
# MnCdRe2 PBE relaxed
data_MnCdRe2
_symmetry_space_group_name_H-M 'C m m 2'
_symmetry_Int_Tables_number 35
_cell_length_a 3.1035
_cell_length_b 4.5046
_cell_length_c 9.0555
_cell_angle_alpha 90.00
_cell_angle_beta 90.00
_cell_angle_gamma 90.00
loop_
_symmetry_equiv_pos_as_xyz
'x,y,z'
'-x,-y,z'
'-x,y,z'
'x,-y,z'
'x+1/2,y+1/2,z'
'-x+1/2,-y+1/2,z'
'-x+1/2,y+1/2,z'
'x+1/2,-y+1/2,z'
loop_
_atom_site_label
_atom_site_fract_x
_atom_site_fract_y
_atom_site_fract_z
Mn1 0.0000 0.0000 0.0000
Cd1 0.0000 0.5000 0.7388
Re1 0.0000 0.0000 0.4596
Re2 0.0000 0.5000 0.2211
# Energy of formation from the pure elements (meV/atom): 361.4
# Calculated total energy (hartree per atom): -0.308

***

No. 3
# Mn2CdRe PBE relaxed
data_Mn2CdRe
_symmetry_space_group_name_H-M 'I -4 m 2'
_symmetry_Int_Tables_number 119
_symmetry_space_group_name_Hall 'I -4 -2'
_cell_length_a 3.7588
_cell_length_b 3.7588
_cell_length_c 8.2573
_cell_angle_alpha 90.00
_cell_angle_beta 90.00
_cell_angle_gamma 90.00
loop_
_atom_site_label
_atom_site_fract_x
_atom_site_fract_y
_atom_site_fract_z
Mn1 0.0000 0.0000 0.0000
Mn2 0.0000 0.5000 0.2500
Cd1 0.0000 0.0000 0.5000
Re1 0.0000 0.5000 0.7500
# Energy of formation from the pure elements (meV/atom): 525.1
# Calculated total energy (hartree per atom): -0.272

***

No. 4
# MnCdRe2 PBE relaxed
data_MnCdRe2
_symmetry_space_group_name_H-M 'P m m m'
_symmetry_Int_Tables_number 47
_cell_length_a 2.7043
_cell_length_b 3.8283
_cell_length_c 6.0283
_cell_angle_alpha 90.00
_cell_angle_beta 90.00
_cell_angle_gamma 90.00
loop_
_symmetry_equiv_pos_as_xyz
'x,y,z'
'-x,-y,-z'
'-x,-y,z'
'x,y,-z'
'x,-y,-z'
'-x,y,z'
'-x,y,-z'
'x,-y,z'
loop_
_atom_site_label
_atom_site_fract_x
_atom_site_fract_y
_atom_site_fract_z
Mn1 0.0000 0.0000 0.0000
Cd1 0.0000 0.0000 0.5000
Re1 0.5000 0.5000 0.2042
# Energy of formation from the pure elements (meV/atom): 469.4
# Calculated total energy (hartree per atom): -0.304

***

No. 5
# MnCdRe2 PBE relaxed
data_MnCdRe2
_symmetry_space_group_name_H-M 'R -3 m'
_symmetry_Int_Tables_number 166
_symmetry_space_group_name_Hall '-R 3 2"'
_cell_length_a 2.7581
_cell_length_b 2.7581
_cell_length_c 27.6999
_cell_angle_alpha 90.00
_cell_angle_beta 90.00
_cell_angle_gamma 120.00
loop_
_atom_site_label
_atom_site_fract_x
_atom_site_fract_y
_atom_site_fract_z
Mn1 0.0000 0.0000 0.0000
Cd1 0.0000 0.0000 0.5000
Re1 0.0000 0.0000 0.2603
# Energy of formation from the pure elements (meV/atom): 325.5
# Calculated total energy (hartree per atom): -0.309

***

No. 6
# MnCdRe PBE relaxed
data_MnCdRe
_symmetry_space_group_name_H-M 'F -4 3 m'
_symmetry_Int_Tables_number 216
_symmetry_space_group_name_Hall 'F -4 2 3'
_cell_length_a 5.9414
_cell_length_b 5.9414
_cell_length_c 5.9414
_cell_angle_alpha 90.00
_cell_angle_beta 90.00
_cell_angle_gamma 90.00
loop_
_atom_site_label
_atom_site_fract_x
_atom_site_fract_y
_atom_site_fract_z
Mn1 0.0000 0.0000 0.0000
Cd1 0.2500 0.2500 0.7500
Re1 0.2500 0.2500 0.2500
# Energy of formation from the pure elements (meV/atom): 793.9
# Calculated total energy (hartree per atom): -0.247
# Relative energy among the computed polymorphs (eV per atom): 0.480

***

No. 7
# MnCd4Re PBE relaxed
data_MnCd4Re
_symmetry_space_group_name_H-M 'F -4 3 m'
_symmetry_Int_Tables_number 216
_symmetry_space_group_name_Hall 'F -4 2 3'
_cell_length_a 7.7445
_cell_length_b 7.7445
_cell_length_c 7.7445
_cell_angle_alpha 90.00
_cell_angle_beta 90.00
_cell_angle_gamma 90.00
loop_
_atom_site_label
_atom_site_fract_x
_atom_site_fract_y
_atom_site_fract_z
Mn1 0.0000 0.0000 0.0000
Cd1 0.1246 0.1246 0.3754
Re1 0.2500 0.2500 0.7500
# Energy of formation from the pure elements (meV/atom): 780.0
# Calculated total energy (hartree per atom): -0.126

***

No. 8
# YMnCd2Re PBE relaxed
data_YMnCd2Re
_symmetry_space_group_name_H-M 'P 4/m m m'
_symmetry_Int_Tables_number 123
_symmetry_space_group_name_Hall '-P 4 2'
_cell_length_a 5.6093
_cell_length_b 5.6093
_cell_length_c 5.0275
_cell_angle_alpha 90.00
_cell_angle_beta 90.00
_cell_angle_gamma 90.00
loop_
_atom_site_label
_atom_site_fract_x
_atom_site_fract_y
_atom_site_fract_z
Y1 0.0000 0.0000 0.0000
Mn1 0.5000 0.5000 0.5000
Cd1 0.0000 0.5000 0.0000
Re1 0.0000 0.0000 0.5000
# Energy of formation from the pure elements (meV/atom): 1816.4
# Calculated total energy (hartree per atom): -0.153

***

No. 9
# MnCdRh PBE relaxed
data_MnCdRh
_symmetry_space_group_name_H-M 'F -4 3 m'
_symmetry_Int_Tables_number 216
_symmetry_space_group_name_Hall 'F -4 2 3'
_cell_length_a 6.1717
_cell_length_b 6.1717
_cell_length_c 6.1717
_cell_angle_alpha 90.00
_cell_angle_beta 90.00
_cell_angle_gamma 90.00
loop_
_atom_site_label
_atom_site_fract_x
_atom_site_fract_y
_atom_site_fract_z
Mn1 0.0000 0.0000 0.0000
Cd1 0.0000 0.0000 0.5000
Rh1 0.2500 0.2500 0.2500
# Energy of formation from the pure elements (meV/atom): 254.5
# Calculated total energy (hartree per atom): -0.204
# Relative energy among the computed polymorphs (eV per atom): 0.305

***

No. 10
# MnCdRh2 PBE relaxed
data_MnCdRh2
_symmetry_space_group_name_H-M 'P 4 m m'
_symmetry_Int_Tables_number 99
_cell_length_a 2.8495
_cell_length_b 2.8495
_cell_length_c 7.7632
_cell_angle_alpha 90.00
_cell_angle_beta 90.00
_cell_angle_gamma 90.00
loop_
_symmetry_equiv_pos_as_xyz
'x,y,z'
'-y,x,z'
'-x,-y,z'
'y,-x,z'
'-x,y,z'
'y,x,z'
'x,-y,z'
'-y,-x,z'
loop_
_atom_site_label
_atom_site_fract_x
_atom_site_fract_y
_atom_site_fract_z
Mn1 0.0000 0.0000 0.0000
Cd1 0.5000 0.5000 0.7164
Rh1 0.0000 0.0000 0.4516
Rh2 0.5000 0.5000 0.2176
# Energy of formation from the pure elements (meV/atom): 53.3
# Calculated total energy (hartree per atom): -0.226

***

No. 11
# MnCdRh2 PBE relaxed
data_MnCdRh2
_symmetry_space_group_name_H-M 'I m m m'
_symmetry_Int_Tables_number 71
_symmetry_space_group_name_Hall '-I 2 2'
_cell_length_a 2.7364
_cell_length_b 4.6009
_cell_length_c 10.4682
_cell_angle_alpha 90.00
_cell_angle_beta 90.00
_cell_angle_gamma 90.00
loop_
_atom_site_label
_atom_site_fract_x
_atom_site_fract_y
_atom_site_fract_z
Mn1 0.0000 0.0000 0.0000
Cd1 0.0000 0.0000 0.5000
Rh1 0.0000 0.0000 0.2237
# Energy of formation from the pure elements (meV/atom): 410.2
# Calculated total energy (hartree per atom): -0.213

***

No. 12
# Mn2CdRh PBE relaxed
data_Mn2CdRh
_symmetry_space_group_name_H-M 'I -4 2 d'
_symmetry_Int_Tables_number 122
_symmetry_space_group_name_Hall 'I -4 2bw'
_cell_length_a 7.2216
_cell_length_b 7.2216
_cell_length_c 5.4745
_cell_angle_alpha 90.00
_cell_angle_beta 90.00
_cell_angle_gamma 90.00
loop_
_atom_site_label
_atom_site_fract_x
_atom_site_fract_y
_atom_site_fract_z
Mn1 0.2211 0.2500 0.1250
Cd1 0.0000 0.0000 0.5000
Rh1 0.0000 0.0000 0.0000
# Energy of formation from the pure elements (meV/atom): 441.9
# Calculated total energy (hartree per atom): -0.228